# 1
Computed, not measured: crystalline Pm3CdIr8 at its relaxed geometry at the GGA-PBE level of DFT.

Unit cell a=9.345 b=9.345 c=9.345 alpha=33.51 beta=33.51 gamma=33.51
Sites, in units of the cell vectors:
1 Pm 0.000 0.000 0.000
2 Pm 0.128 0.128 0.128
3 Pm 0.620 0.620 0.620
4 Cd 0.498 0.498 0.498
5 Ir 0.061 0.061 0.562
6 Ir 0.061 0.562 0.061
7 Ir 0.063 0.562 0.562
8 Ir 0.312 0.312 0.312
9 Ir 0.562 0.061 0.061
10 Ir 0.562 0.063 0.562
11 Ir 0.562 0.562 0.063
12 Ir 0.812 0.812 0.812

Calculated values
- Density: 15.627 g/cm³
- Formation energy from the elements: -0.5292 eV/atom
- Energy: -7.700 eV/atom
- DOS(E_F): 14.267 states/eV/f.u.

=====

# 2
Computed, not measured: crystalline LiMgRe at its relaxed geometry at the GGA-PBE level of DFT.

Unit cell a=2.728 b=4.402 c=8.214 alpha=90.00 beta=90.60 gamma=90.00
Sites, in units of the cell vectors:
1 Li 0.000 0.000 0.000
2 Li 0.311 0.000 0.637
3 Mg 0.675 0.500 0.843
4 Mg 0.970 0.500 0.480
5 Re 0.322 0.500 0.167
6 Re 0.584 0.000 0.294

Calculated values
- Density: 7.321 g/cm³
- Offset from the most stable computed form: 100 meV per atom
- Formation energy from the elements: 0.1536 eV/atom
- Energy: -5.165 eV/atom
- DOS(E_F): 1.374 states/eV/f.u.

=====

# 3
Computed, not measured: crystalline Mg7Zn2Se3 at its relaxed geometry at the GGA-PBE level of DFT.

Unit cell a=10.593 b=10.593 c=10.593 alpha=30.53 beta=30.53 gamma=30.53
Sites, in units of the cell vectors:
1 Mg 0.000 0.000 0.000
2 Mg 0.079 0.079 0.582
3 Mg 0.079 0.582 0.079
4 Mg 0.418 0.921 0.921
5 Mg 0.582 0.079 0.079
6 Mg 0.921 0.418 0.921
7 Mg 0.921 0.921 0.418
8 Zn 0.166 0.166 0.166
9 Zn 0.834 0.834 0.834
10 Se 0.380 0.380 0.380
11 Se 0.500 0.500 0.500
12 Se 0.620 0.620 0.620

Calculated values
- Density: 3.284 g/cm³
- Uncorrected formation energy: -0.074 eV/atom
- Energy: -2.088 eV/atom
- DOS(E_F): 2.236 states/eV/f.u.

=====

# 4
Computed, not measured: crystalline YCu at its relaxed geometry at the GGA-PBE level of DFT.

Unit cell a=5.489 b=5.489 c=7.476 alpha=110.03 beta=110.03 gamma=40.32
Sites, in units of the cell vectors:
1 Y 0.000 0.000 0.000
2 Y 0.638 0.638 0.694
3 Y 0.814 0.814 0.347
4 Cu 0.287 0.287 0.005
5 Cu 0.350 0.350 0.680
6 Cu 0.514 0.514 0.292

Calculated values
- Density: 5.597 g/cm³
- Formation energy from the elements: -0.1590 eV/atom
- Energy: -5.439 eV/atom
- DOS(E_F): 1.674 states/eV/f.u.